# MgInSe2 PBE optimized geometry
# Formation energy without anion corrections   -50.5 kJ/mol of atoms
# Spin magnetization   0.00 μB per formula unit
# VASP energy   -3.349 eV per atom
data_MgInSe2
_chemical_formula_sum 'Mg1 In1 Se2'
_cell_length_a 5.635
_cell_length_b 5.635
_cell_length_c 4.197
_cell_angle_alpha 65.69
_cell_angle_beta 65.69
_cell_angle_gamma 84.72
_space_group_name_H-M_alt 'P 1'
_space_group_IT_number 1
_space_group_name_Hall 'P 1'
loop_
_atom_site_label
_atom_site_type_symbol
_atom_site_fract_x
_atom_site_fract_y
_atom_site_fract_z
_atom_site_occupancy
In1 In 0.500 0.000 0.500 1
Mg1 Mg 0.000 0.500 0.500 1
Se1 Se 0.000 0.000 0.000 1
Se2 Se 0.500 0.500 0.000 1